Compound: La2PrNO2
Source: the Open Quantum Materials Database
Functional: PBE-GGA
Structure: relaxed

The value obtained for the total DFT energy (no corrections) is -7.834 eV/atom.

The structure belongs to space group P-3m1 (No. 164); the cell edges are 3.6400, 3.6400 and 8.9124 Å and the angles 90.00°, 90.00° and 120.00°. The asymmetric unit holds La at (0.3333, 0.6667, 0.1648), Pr at (0.0000, 0.0000, 0.5000), N at (0.0000, 0.0000, 0.0000) and O at (0.3333, 0.6667, 0.6557).